GdAgAs2: relaxed, GGA-PBE.

The structure in POSCAR format:
```
GdAgAs2
1.0
3.2786 0.0000 0.0000
1.6393 2.8393 0.0000
1.6393 0.9464 9.9054
As Gd Ag
2 1 1
direct
0.0965 0.0965 0.7104 As
0.9035 0.9035 0.2896 As
0.0000 0.0000 0.0000 Gd
0.5000 0.5000 0.5000 Ag
```

## Properties
calculated volume = 23.05 A^3/atom
final energy = -6.3588 eV/atom

***

Tm8As3CS3: relaxed, GGA-PBE.

The structure in POSCAR format:
```
Tm8As3CS3
1.0
-1.2289 0.0567 7.6952
-6.0503 0.0087 -4.9121
4.4001 -6.4595 0.7502
Tm As C S
8 3 1 3
direct
0.2509 0.5019 0.2528 Tm
0.7491 0.4981 0.7472 Tm
0.7734 0.5468 0.2761 Tm
0.2266 0.4532 0.7239 Tm
0.7734 0.0027 0.2761 Tm
0.2266 0.9973 0.7239 Tm
0.2293 0.0027 0.2761 Tm
0.7707 0.9973 0.7239 Tm
0.0000 0.0000 0.0000 As
0.0000 0.5000 0.0000 As
0.5000 0.5000 0.0000 As
0.0000 0.0000 0.5000 C
0.5000 0.0000 0.5000 S
0.5000 0.5000 0.5000 S
0.0000 0.5000 0.5000 S
```

## Properties
calculated volume = 22.56 A^3/atom
ΔE_f (raw) = -1.439 eV/atom

***

Al2HgPt: relaxed, GGA-PBE.

The structure in POSCAR format:
```
Al2HgPt
1.0
3.0675 -0.0023 0.0000
0.0025 3.0675 0.0000
0.0000 0.0000 7.5542
Hg Pt Al
1 1 2
direct
0.5000 0.5000 0.2500 Hg
0.5000 0.5000 0.7500 Pt
0.0000 0.0000 0.9539 Al
0.0000 0.0000 0.5461 Al
```

## Properties
calculated volume = 17.77 A^3/atom
final energy = -3.7766 eV/atom

***

Co4Hg: relaxed, GGA-PBE.

The structure in POSCAR format:
```
Co4Hg
1.0
-2.9600 2.9600 1.8390
2.9600 -2.9600 1.8390
2.9600 2.9600 -1.8390
Co Hg
4 1
direct
0.8143 0.5851 0.3994 Co
0.1857 0.4149 0.6006 Co
0.5851 0.1857 0.7708 Co
0.4149 0.8143 0.2292 Co
0.0000 0.0000 0.0000 Hg
```

## Properties
calculated volume = 12.89 A^3/atom
distance to the lowest polymorph of the same formula = 0 meV/atom